Record 1
An optimized crystal structure of Tc2Ru4Rh, computed with GGA-PBE.

Unit cell a=15.313 b=15.313 c=15.313 alpha=10.26 beta=10.26 gamma=10.26
Atoms (fractional coordinates):
Tc 0.000 0.000 0.000
Tc 0.096 0.096 0.096
Ru 0.286 0.286 0.286
Ru 0.380 0.380 0.380
Ru 0.810 0.810 0.810
Ru 0.906 0.906 0.906
Rh 0.191 0.191 0.191

## Properties
The value obtained for the total energy is -0.685 Ry per atom. Its formation energy is -13 meV/atom. The space-group type is R3m, No. 160. Its density of states at the Fermi level is 1.09 states/eV/atom.

Record 2
An optimized crystal structure of SrMgOF2, computed with GGA-PBE.

Unit cell a=3.934 b=3.934 c=4.140 alpha=90.00 beta=90.00 gamma=90.00
Atoms (fractional coordinates):
Sr 0.000 0.000 0.000
Mg 0.500 0.500 0.500
O 0.500 0.500 0.000
F 0.000 0.500 0.500
F 0.500 0.000 0.500

## Properties
The value obtained for the total energy is -0.415 Ry per atom. The space-group type is P4/mmm, No. 123. Its density of states at the Fermi level is 0.00 states/eV/atom.

Record 3
An optimized crystal structure of FeCoSb3, computed with GGA-PBE.

Unit cell a=4.883 b=4.883 c=4.883 alpha=90.00 beta=90.00 gamma=90.00
Atoms (fractional coordinates):
Fe 0.000 0.000 0.000
Co 0.500 0.500 0.500
Sb 0.000 0.000 0.500
Sb 0.000 0.500 0.000
Sb 0.500 0.000 0.000

## Properties
The value obtained for the total energy is -0.350 Ry per atom. The space-group type is Pm-3m, No. 221. Its density of states at the Fermi level is 1.15 states/eV/atom.